Entry 1
Below is PmTmPb after structural relaxation, with properties calculated at the PBE level.

The magnetization comes out at 0.0000 μB/atom.

a b c (Å): 5.2193 5.2193 3.9534
angles (deg): 90.00 90.00 120.00
Last column: nearest neighbours and their distance in Å.
Sites, in units of the cell vectors:
Pm1 0.0000 0.0000 0.0000  6 Pb 3.45-3.78, 6 Tm 3.55-3.66
Tm1 0.6667 0.3333 0.4767  3 Pb 3.04
Pb1 0.3333 0.6667 0.5756  3 Tm 3.04

Entry 2
Below is PmTmPb after structural relaxation, with properties calculated at the PBE level.

The magnetization comes out at 0.0007 μB/atom.

a b c (Å): 5.2204 5.2204 5.2204
angles (deg): 60.00 60.00 60.00
Last column: nearest neighbours and their distance in Å.
Sites, in units of the cell vectors:
Pm1 0.0000 0.0000 0.0000  4 Pb 3.20
Tm1 0.5000 0.5000 0.5000  4 Pb 3.20
Pb1 0.7500 0.7500 0.7500  4 Pm 3.20, 4 Tm 3.20

Entry 3
Below is PmTmPb after structural relaxation, with properties calculated at the PBE level.

The magnetization comes out at 0.0418 μB/atom.

a b c (Å): 8.9093 8.9093 6.0543
angles (deg): 90.00 90.00 157.66
Last column: nearest neighbours and their distance in Å.
Sites, in units of the cell vectors:
Pm1 0.1773 0.8227 0.7500  5 Pb 3.20-3.55, 2 Tm 3.45, 2 Pm 3.45
Pm2 0.8227 0.1773 0.2500  5 Pb 3.20-3.55, 2 Tm 3.45, 2 Pm 3.45
Tm1 0.0000 0.0000 0.0000  2 Tm 3.03, 4 Pb 3.35
Tm2 0.0000 0.0000 0.5000  2 Tm 3.03, 4 Pb 3.35
Pb1 0.3601 0.6399 0.7500  5 Pm 3.20-3.55, 4 Tm 3.35, 2 Pb 3.45
Pb2 0.6399 0.3601 0.2500  5 Pm 3.20-3.55, 4 Tm 3.35, 2 Pb 3.45

Entry 4
Below is PmTmPb after structural relaxation, with properties calculated at the PBE level.

The magnetization comes out at 0.0000 μB/atom.

a b c (Å): 4.6054 4.6054 8.6814
angles (deg): 90.00 90.00 90.00
Last column: nearest neighbours and their distance in Å.
Sites, in units of the cell vectors:
Pm1 0.2500 0.2500 0.1568  5 Pb 3.30-3.31
Pm2 0.7500 0.7500 0.8432  5 Pb 3.30-3.31
Tm1 0.2500 0.7500 0.5000  4 Tm 3.26, 4 Pb 3.32
Tm2 0.7500 0.2500 0.5000  4 Tm 3.26, 4 Pb 3.32
Pb1 0.2500 0.2500 0.7761  5 Pm 3.30-3.31, 4 Tm 3.32
Pb2 0.7500 0.7500 0.2239  5 Pm 3.30-3.31, 4 Tm 3.32

The structure with the most favorable energy is entry 4; the runner-up is 20.6 kJ/mol of atoms above it.